# 1
Crystalline NaCa3 at its relaxed geometry, computed with GGA-PBE.

Geometry as extended XYZ:
```
4
Lattice="-4.922 -2.071 -0.269 0.582 -0.698 -5.269 4.315 -3.835 3.698" Properties=species:S:1:pos:R:3 pbc="T T T"
Ca 1.364 -2.959 -2.170
Ca -1.389 -3.645 0.330
Ca -2.170 -1.384 -2.769
Na 0.000 0.000 0.000
```

Output
SG: I4/mmm
DOS(E_F) in states/eV per atom: 1.2190
Total DFT energy (no corrections) in eV/atom: -1.761
Formation energy from the elements in meV/atom: 70
Mass density in g/cm³: 1.5


# 2
Crystalline Na17Ca2 at its relaxed geometry, computed with GGA-PBE.

Geometry as extended XYZ:
```
19
Lattice="8.953 0.055 1.353 1.172 8.876 1.353 0.062 0.055 9.055" Properties=species:S:1:pos:R:3 pbc="T T T"
Na 0.586 4.438 0.676
Na 5.953 1.488 6.873
Na 4.477 0.027 0.676
Na 6.567 2.759 1.353
Na 0.031 0.027 4.527
Na 6.486 5.721 3.177
Na 4.234 7.498 4.887
Na 3.701 3.264 8.584
Na 9.165 8.084 10.580
Na 2.219 5.721 6.873
Na 1.022 0.902 1.180
Na 6.227 0.055 3.714
Na 0.402 2.759 6.693
Na 3.558 6.171 1.353
Na 2.788 0.055 6.693
Na 0.832 6.171 3.714
Na 7.968 3.264 4.887
Ca 3.330 2.938 3.845
Ca 6.857 6.048 7.916
```

Output
SG: R-3m
DOS(E_F) in states/eV per atom: 0.6022
Total DFT energy (no corrections) in eV/atom: -1.325
Formation energy from the elements in meV/atom: 66
Mass density in g/cm³: 1.1


Question: Among the records above, which one has the highest mass density?
Answer: NaCa3